## ZrBeP2Cl (SCAN)

Data for ZrBeP2Cl at its PBEsol-relaxed geometry.

The structure in POSCAR format:
```
ZrBeP2Cl
1.0
-1.501 -0.105 -3.987
2.545 -3.305 -0.871
-3.177 -2.781 1.269
Cl Zr P Be
1 1 2 1
Direct
0.000 0.000 0.500
0.500 0.500 0.500
0.000 0.500 0.000
0.500 0.000 0.000
0.000 0.000 0.000
```

Calculated values
- Space group: P4/mmm, No. 123
- Formation energy (no corrections): -21 meV/atom
- DOS at the Fermi energy: 2.08 states/eV per cell
- VASP energy: -0.940 Ry per atom

## BePb2Cl (SCAN)

Data for BePb2Cl at its PBEsol-relaxed geometry.

The structure in POSCAR format:
```
BePb2Cl
1.0
3.253 0.000 0.000
0.000 5.249 0.000
0.000 0.000 5.249
Cl Pb Be
1 2 1
Direct
0.500 0.000 0.000
0.000 0.500 0.000
0.000 0.000 0.500
0.500 0.500 0.500
```

Calculated values
- Space group: P4/mmm, No. 123
- Formation energy (no corrections): 135 meV/atom
- DOS at the Fermi energy: 1.20 states/eV per cell
- VASP energy: -3.002 Ry per atom

## Be2PbCl (SCAN)

Data for Be2PbCl at its PBEsol-relaxed geometry.

The structure in POSCAR format:
```
Be2PbCl
1.0
2.982 0.000 0.000
-1.491 2.972 0.000
0.000 0.000 9.360
Be Cl Pb
2 1 1
Direct
0.500 0.000 0.247
0.000 0.000 0.054
0.000 0.000 0.393
0.500 0.000 0.806
```

Calculated values
- Space group: Cmm2, No. 35
- Formation energy (no corrections): 152 meV/atom
- DOS at the Fermi energy: 1.51 states/eV per cell
- VASP energy: -1.688 Ry per atom

## Be2PbCl (SCAN)

Data for Be2PbCl at its PBEsol-relaxed geometry.

The structure in POSCAR format:
```
Be2PbCl
1.0
-0.944 2.733 -1.413
-3.282 -1.107 -3.615
-4.480 1.291 1.824
Be Pb Cl
2 1 1
Direct
0.281 0.719 0.719
0.719 0.281 0.281
0.500 0.000 0.000
0.000 0.500 0.500
```

Calculated values
- Space group: Immm, No. 71
- Formation energy (no corrections): 518 meV/atom
- DOS at the Fermi energy: 1.02 states/eV per cell
- VASP energy: -1.661 Ry per atom

## BePbCl (SCAN)

Data for BePbCl at its PBEsol-relaxed geometry.

The structure in POSCAR format:
```
BePbCl
1.0
-2.186 -2.282 0.673
2.194 -0.498 -2.319
4.434 -2.831 4.804
Be Cl Pb
1 1 1
Direct
0.000 0.000 0.946
0.333 0.667 0.786
0.667 0.333 0.268
```

Calculated values
- Space group: P3m1, No. 156
- Formation energy (no corrections): -283 meV/atom
- DOS at the Fermi energy: 1.25 states/eV per cell
- VASP energy: -2.180 Ry per atom

## BePb2Cl (SCAN)

Data for BePb2Cl at its PBEsol-relaxed geometry.

The structure in POSCAR format:
```
BePb2Cl
1.0
-3.422 -2.643 2.494
4.899 -0.825 0.852
-2.108 4.235 1.596
Cl Be Pb
1 1 2
Direct
0.000 0.000 0.000
0.500 0.000 0.500
0.250 0.500 0.750
0.750 0.500 0.250
```

Calculated values
- Space group: I4/mmm, No. 139
- Formation energy (no corrections): 304 meV/atom
- DOS at the Fermi energy: 2.56 states/eV per cell
- VASP energy: -2.989 Ry per atom